Below is crystalline LiCeAlAu at its relaxed geometry, with properties calculated at the GGA-PBE level.

The density of states at the Fermi level comes out at 6.0 states/eV/f.u. As for the symmetry: F-43m (216). The calculation puts the formation energy at -0.439 eV/atom. For the magnetic moment, the calculation gives 1.0 μB/f.u. The value obtained for the raw total energy is -16.6 eV for the cell shown.

Unit cell a=4.8516 b=4.8516 c=4.8516 alpha=60.00 beta=60.00 gamma=60.00
Site moments in Bohr magnetons follow the coordinates.
Atoms (fractional coordinates):
Ce  0.2500  0.2500  0.2500  0.79
Li  0.0000  0.0000  0.0000  0.03
Al  0.7500  0.7500  0.7500  0.00
Au  0.5000  0.5000  0.5000  0.01